# Tb4IrSe2S, relaxed, DFT PBE
# raw formation energy = -1.59 eV/atom
# total moment = 0.00 μB per formula unit
# Fermi-level density of states = 0.730 states/eV per atom
data_Tb4IrSe2S
_cell_length_a 7.1108
_cell_length_b 4.0079
_cell_length_c 7.1619
_cell_angle_alpha 90.00
_cell_angle_beta 108.79
_cell_angle_gamma 90.00
_symmetry_space_group_name_H-M 'P 1 2/m 1'
_symmetry_Int_Tables_number 10
loop_
_symmetry_equiv_pos_as_xyz
'x,y,z'
'-x,-y,-z'
'-x,y,-z'
'x,-y,z'
loop_
_atom_site_label
_atom_site_type_symbol
_atom_site_fract_x
_atom_site_fract_y
_atom_site_fract_z
Tb1 Tb 0.2335 0.0000 0.2252
Tb2 Tb 0.2504 0.5000 0.7687
Ir1 Ir 0.0000 0.5000 0.0000
Se1 Se 0.0000 0.0000 0.5000
Se2 Se 0.5000 0.5000 0.5000
S1 S 0.5000 0.0000 0.0000